Here is an optimized crystal structure of Tl5FeI8 from the Alexandria database. Energies are from PBE-GGA.

## Properties
space group = I-4, No. 82
uncorrected formation energy = -475.2 meV per atom

Cell: 9.8505 9.8505 9.8505 Å, 105.63 105.63 117.46°
With the nearest neighbours (Å) after each atom.
Fractional positions:
Tl1 0.0000 0.0000 0.0000  4 I 3.34
Tl2 0.1045 0.1227 0.4765  5 I 3.35-3.74
Tl3 0.3720 0.8955 0.0182  5 I 3.35-3.74
Tl4 0.6462 0.6280 0.5235  5 I 3.35-3.74
Tl5 0.8773 0.3538 0.9818  5 I 3.35-3.74
Fe1 0.2500 0.7500 0.5000  4 I 2.58
I1 0.3007 0.5831 0.6451  1 Fe 2.58
I2 0.3444 0.6993 0.2824  1 Fe 2.58
I3 0.3923 0.1991 0.2963  4 Tl 3.34-3.64
I4 0.4169 0.0620 0.7176  1 Fe 2.58
I5 0.8009 0.0972 0.1932  4 Tl 3.34-3.64
I6 0.9028 0.0960 0.7037  4 Tl 3.34-3.64
I7 0.9040 0.6077 0.8068  4 Tl 3.34-3.64
I8 0.9380 0.6556 0.3549  1 Fe 2.58

=====

Here is an optimized crystal structure of TlFe3I from the Alexandria database. Energies are from PBE-GGA.

## Properties
space group = Pm-3m, No. 221
uncorrected formation energy = 1315.1 meV per atom
relative energy among the computed polymorphs = 0 kJ/mol of formula units

Cell: 4.7365 4.7365 4.7365 Å, 90.00 90.00 90.00°
With the nearest neighbours (Å) after each atom.
Fractional positions:
Tl1 0.0000 0.0000 0.0000  12 Fe 3.35
Fe1 0.0000 0.5000 0.5000  2 I 2.37
Fe2 0.5000 0.0000 0.5000  2 I 2.37
Fe3 0.5000 0.5000 0.0000  2 I 2.37
I1 0.5000 0.5000 0.5000  6 Fe 2.37

=====

Here is an optimized crystal structure of TlFeI3 from the Alexandria database. Energies are from PBE-GGA.

## Properties
space group = Pm-3m, No. 221
uncorrected formation energy = -169.0 meV per atom
relative energy among the computed polymorphs = 0 kJ/mol of formula units

Cell: 5.6291 5.6291 5.6291 Å, 90.00 90.00 90.00°
With the nearest neighbours (Å) after each atom.
Fractional positions:
Tl1 0.0000 0.0000 0.0000  12 I 3.98
Fe1 0.5000 0.5000 0.5000  6 I 2.81
I1 0.0000 0.5000 0.5000  2 Fe 2.81
I2 0.5000 0.0000 0.5000  2 Fe 2.81
I3 0.5000 0.5000 0.0000  2 Fe 2.81